No. 1
Material: LiTl3
Method: DFT, PBE
State: optimized geometry

The structure in CIF format:
```
data_LiTl3
_chemical_formula_sum 'Li2 Tl6'
_cell_length_a 3.7796
_cell_length_b 10.4859
_cell_length_c 5.3783
_cell_angle_alpha 90.00
_cell_angle_beta 90.00
_cell_angle_gamma 90.00
_space_group_name_H-M_alt 'I m m 2'
_space_group_IT_number 44
_space_group_name_Hall 'I 2 -2'
loop_
_atom_site_label
_atom_site_type_symbol
_atom_site_fract_x
_atom_site_fract_y
_atom_site_fract_z
Li1 Li 0.0000 0.0000 0.0000
Tl1 Tl 0.0000 0.2741 0.4982
Tl2 Tl 0.0000 0.5000 0.9988
```

Output
Formation energy from the elements = -77 meV per atom
Mass density = 9.661 g/cm³
E = -2.33 eV per atom
V = 106.58 Å³/f.u.

---

No. 2
Material: Li15Tl
Method: DFT, PBE
State: optimized geometry

The structure in CIF format:
```
data_Li15Tl
_chemical_formula_sum 'Li15 Tl1'
_cell_length_a 6.0224
_cell_length_b 6.0224
_cell_length_c 9.9756
_cell_angle_alpha 90.00
_cell_angle_beta 90.00
_cell_angle_gamma 120.00
_space_group_name_H-M_alt 'P -6 m 2'
_space_group_IT_number 187
_space_group_name_Hall 'P -6 2'
loop_
_atom_site_label
_atom_site_type_symbol
_atom_site_fract_x
_atom_site_fract_y
_atom_site_fract_z
Li1 Li 0.0000 0.0000 0.0000
Li2 Li 0.3284 0.1642 0.2535
Li3 Li 0.3333 0.6667 0.2444
Li4 Li 0.5004 0.0007 0.5000
Li5 Li 0.5015 0.0031 0.0000
Tl1 Tl 0.0000 0.0000 0.5000
```

Output
Formation energy from the elements = -48 meV per atom
Mass density = 1.635 g/cm³
E = -1.99 eV per atom
V = 313.33 Å³/f.u.

---

Look up the V of the second one.
313.33 Å³/f.u.